LiTe2P2: optimized geometry, PBE-GGA.

The structure in POSCAR format:
```
LiTe2P2
1.0
0.269 -6.015 -0.186
-0.336 -1.408 5.847
-3.762 3.550 -3.088
P Te Li
2 2 1
Direct
0.750 0.250 0.500
0.250 0.750 0.500
0.699 0.699 0.000
0.301 0.301 0.000
0.000 0.000 0.000
```

Properties
Formation energy without anion corrections (eV per atom): 0.16
Density of states at the Fermi level (states/eV/atom): 0.619
Total magnetic moment (μB/atom): 0.0000